(1)
First-principles (PBE-GGA) data for a relaxed structure of KTh2Tl3Te6, as listed in Alexandria.

abc: 10.806 10.806 9.865
angles: 105.02 105.02 24.78
Fractional coordinates of all 12 atoms:
K1 0.000 0.000 0.000
Th1 0.334 0.334 0.671
Th2 0.666 0.666 0.329
Tl1 0.000 0.000 0.500
Tl2 0.345 0.345 0.170
Tl3 0.655 0.655 0.830
Te1 0.174 0.174 0.560
Te2 0.177 0.177 0.119
Te3 0.480 0.480 0.734
Te4 0.520 0.520 0.266
Te5 0.823 0.823 0.881
Te6 0.826 0.826 0.440

Computed properties:
Energy relative to the elements, uncorrected (eV/atom): -0.88
Calculated total energy (Ry per atom): -0.32104
Volume (A^3/atom): 38.794
SG: C2/m (12)

(2)
First-principles (PBE-GGA) data for a relaxed structure of KThTl2Te4, as listed in Alexandria.

abc: 8.200 4.545 8.602
angles: 90.00 107.93 90.00
Fractional coordinates of all 8 atoms:
K1 0.000 0.000 0.000
Th1 0.000 0.500 0.500
Tl1 0.500 0.000 0.500
Tl2 0.500 0.500 0.000
Te1 0.228 0.000 0.718
Te2 0.249 0.500 0.287
Te3 0.751 0.500 0.713
Te4 0.772 0.000 0.282

Computed properties:
Energy relative to the elements, uncorrected (eV/atom): -0.76
Calculated total energy (Ry per atom): -0.29307
Volume (A^3/atom): 38.128
SG: P2/m (10)